# 1
# PBE-GGA DyYSbAs, relaxed
# - E (eV/atom) = -6.1890
# - ΔE_f (raw) (kJ/mol of formula units) = -475
data_DyYSbAs
_space_group_name_H-M_alt 'P 1'
_space_group_IT_number 1
_space_group_name_Hall 'P 1'
_cell_length_a 4.2129
_cell_length_b 4.2133
_cell_length_c 7.5985
_cell_angle_alpha 90.00
_cell_angle_beta 106.08
_cell_angle_gamma 120.00
loop_
_atom_site_label
_atom_site_type_symbol
_atom_site_fract_x
_atom_site_fract_y
_atom_site_fract_z
Dy1 Dy 0.3181 0.5570 0.8902
Y1 Y 0.9557 0.3759 0.3469
Sb1 Sb 0.4715 0.1337 0.6209
As1 As 0.1325 0.9642 0.1117

---

# 2
# PBE-GGA BeCrPt4, relaxed
# - E (eV/atom) = -6.0385
# - DFT formation energy (eV/atom) = 0.2137
data_BeCrPt4
_space_group_name_H-M_alt 'P 1'
_space_group_IT_number 1
_space_group_name_Hall 'P 1'
_cell_length_a 5.2135
_cell_length_b 5.2135
_cell_length_c 5.2135
_cell_angle_alpha 60.00
_cell_angle_beta 60.00
_cell_angle_gamma 60.00
loop_
_atom_site_label
_atom_site_type_symbol
_atom_site_fract_x
_atom_site_fract_y
_atom_site_fract_z
Be1 Be 0.2500 0.2500 0.2500
Cr1 Cr 0.0000 0.0000 0.0000
Pt1 Pt 0.6249 0.6249 0.1254
Pt2 Pt 0.6249 0.1254 0.6249
Pt3 Pt 0.6249 0.6249 0.6249
Pt4 Pt 0.1254 0.6249 0.6249

---

# 3
# PBE-GGA KCa3Mo, relaxed
# - E (eV/atom) = -1.7368
# - polymorph energy (0 for the lowest one) (meV/atom) = 1172
# - DFT formation energy (eV/atom) = 1.8499
data_KCa3Mo
_space_group_name_H-M_alt 'P 1'
_space_group_IT_number 1
_space_group_name_Hall 'P 1'
_cell_length_a 5.4318
_cell_length_b 5.4318
_cell_length_c 5.4318
_cell_angle_alpha 90.00
_cell_angle_beta 90.00
_cell_angle_gamma 90.00
loop_
_atom_site_label
_atom_site_type_symbol
_atom_site_fract_x
_atom_site_fract_y
_atom_site_fract_z
K1 K 0.0000 0.0000 0.0000
Mo1 Mo 0.5000 0.5000 0.5000
Ca1 Ca 0.0000 0.5000 0.0000
Ca2 Ca 0.0000 0.0000 0.5000
Ca3 Ca 0.5000 0.0000 0.0000